# 1
{
  "formula": "Ce4Mg",
  "functional": "PBE",
  "state": "relaxed",
  "ef_ev_per_atom": 0.68,
  "energy_ev_per_cell": -43.8,
  "magnetic_moment_mub_per_fu": 3.588,
  "space_group": "No. 227",
  "relative_energy_mev_per_atom": 650,
  "dos_ef_per_ev_cell": 32.88,
  "cell": [[0.0000, 5.4536, 5.4536], [5.4536, 0.0000, 5.4536], [5.4536, 5.4536, 0.0000]],
  "species": ["Ce", "Ce", "Mg", "Mg", "Ce", "Ce", "Ce", "Ce", "Ce", "Ce"],
  "frac_coords": [[0.3412, 0.3412, 0.3412], [0.3412, 0.3412, 0.9765], [0.5000, 0.5000, 0.5000], [0.7500, 0.7500, 0.7500], [0.2735, 0.9088, 0.9088], [0.3412, 0.9765, 0.3412], [0.9088, 0.9088, 0.9088], [0.9088, 0.2735, 0.9088], [0.9765, 0.3412, 0.3412], [0.9088, 0.9088, 0.2735]]
}



# 2
{
  "formula": "Rb2AsPtF6",
  "functional": "PBE",
  "state": "relaxed",
  "energy_ev_per_cell": -42.5,
  "formation_energy_uncorrected_ev_per_fu": -18.61,
  "magnetic_moment_mub_per_fu": 0.981,
  "space_group": "No. 139",
  "dos_ef_per_ev_cell": 2.76,
  "cell": [[6.6896, 0.0000, 0.0000], [0.0000, 6.6896, 0.0000], [3.3448, 3.3448, 4.2066]],
  "species": ["F", "F", "F", "F", "As", "F", "Rb", "Rb", "F", "Pt"],
  "frac_coords": [[0.2862, 0.7138, 0.0000], [0.2486, 0.2486, 0.5027], [0.7138, 0.7138, 0.0000], [0.7138, 0.2862, 0.0000], [0.5000, 0.5000, 0.0000], [0.2862, 0.2862, 0.0000], [0.2500, 0.7500, 0.5000], [0.7500, 0.2500, 0.5000], [0.7514, 0.7514, 0.4973], [0.0000, 0.0000, 0.0000]]
}



# 3
{
  "formula": "Sr2B7Rh12",
  "functional": "PBE",
  "state": "relaxed",
  "ef_ev_per_atom": -0.29,
  "energy_ev_per_cell": -144.4,
  "magnetic_moment_mub_per_fu": 0.000,
  "space_group": "No. 174",
  "dos_ef_per_ev_cell": 11.32,
  "cell": [[-2.9858, 0.2215, 2.4034], [1.1468, -8.7820, 2.2342], [4.2992, 6.5175, 4.7403]],
  "species": ["Rh", "B", "Rh", "Rh", "Rh", "Rh", "Sr", "B", "Rh", "B", "Rh", "B", "Rh", "Rh", "Rh", "B", "B", "Rh", "Rh", "B", "Sr"],
  "frac_coords": [[0.0000, 0.2580, 0.0151], [0.0000, 0.2491, 0.2522], [0.0000, 0.4934, 0.9327], [0.5000, 0.2483, 0.7874], [0.5000, 0.5390, 0.7517], [0.5000, 0.3702, 0.2647], [0.0000, 0.6667, 0.3333], [0.5000, 0.6436, 0.5988], [0.5000, 0.7353, 0.1056], [0.5000, 0.4012, 0.0449], [0.0000, 0.7571, 0.7420], [0.0000, 0.3333, 0.6667], [0.0000, 0.9849, 0.2429], [0.0000, 0.0673, 0.5607], [0.5000, 0.8944, 0.6298], [0.0000, 0.0031, 0.7509], [0.5000, 0.9551, 0.3564], [0.0000, 0.4393, 0.5066], [0.5000, 0.2126, 0.4610], [0.0000, 0.7478, 0.9969], [0.5000, 0.0000, 0.0000]]
}



# 4
{
  "formula": "K2CuBrCl6",
  "functional": "PBE",
  "state": "relaxed",
  "energy_ev_per_cell": -28.0,
  "formation_energy_uncorrected_ev_per_fu": -8.95,
  "magnetic_moment_mub_per_fu": 0.000,
  "space_group": "No. 139",
  "dos_ef_per_ev_cell": 0.13,
  "cell": [[7.1647, 0.0005, 0.0033], [0.0005, 7.1649, 0.0033], [3.5852, 3.5854, 5.5345]],
  "species": ["Cu", "Cl", "K", "K", "Cl", "Cl", "Br", "Cl", "Cl", "Cl"],
  "frac_coords": [[0.0000, 0.0000, 0.0000], [0.8002, 0.8002, 0.3992], [0.7501, 0.2503, 0.4995], [0.2499, 0.7497, 0.5005], [0.1998, 0.1998, 0.6008], [0.2520, 0.7482, 0.0000], [0.5000, 0.5000, 0.0000], [0.2517, 0.2519, 0.0000], [0.7480, 0.2518, 0.0000], [0.7483, 0.7481, 0.0000]]
}



# 5
{
  "formula": "BaMnSb3",
  "functional": "PBE",
  "state": "relaxed",
  "energy_ev_per_cell": -23.7,
  "formation_energy_uncorrected_ev_per_fu": -0.20,
  "magnetic_moment_mub_per_fu": 0.000,
  "space_group": "No. 221",
  "relative_energy_mev_per_atom": 0,
  "dos_ef_per_ev_cell": 9.10,
  "cell": [[-4.6377, 1.5277, -1.7883], [0.0450, -3.8954, -3.4445], [-2.3516, -3.0875, 3.4609]],
  "species": ["Sb", "Mn", "Sb", "Ba", "Sb"],
  "frac_coords": [[0.5000, 0.0000, 0.0000], [0.0000, 0.0000, 0.0000], [0.0000, 0.5000, 0.0000], [0.5000, 0.5000, 0.5000], [0.0000, 0.0000, 0.5000]]
}



# 6
{
  "formula": "FeAsPb2",
  "functional": "PBE",
  "state": "relaxed",
  "ef_ev_per_atom": 0.51,
  "energy_ev_per_cell": -18.5,
  "magnetic_moment_mub_per_fu": 2.377,
  "space_group": "No. 123",
  "dos_ef_per_ev_cell": 4.58,
  "cell": [[3.4200, 0.0369, 0.0000], [-0.0370, 3.4200, 0.0000], [0.0000, 0.0000, 7.7040]],
  "species": ["As", "Pb", "Pb", "Fe"],
  "frac_coords": [[0.5000, 0.5000, 0.2500], [0.0000, 0.0000, 0.5278], [0.0000, 0.0000, 0.9722], [0.5000, 0.5000, 0.7500]]
}